A plane-wave DFT calculation with GGA-PBE was carried out for a relaxed structure of PrMg.

spin magnetization = 0.000 μB per atom
ΔE to the lowest computed polymorph = 56 meV per atom

Cell: 5.351 10.749 5.350 Å, 90.00 90.00 75.59°
Fractional positions:
Pr 0.000 0.169 0.500
Pr 0.878 0.411 0.000
Pr 0.369 0.431 0.500
Pr 0.489 0.189 0.000
Pr 0.681 0.800 0.000
Mg 0.184 0.800 0.500
Mg 0.271 0.621 0.000
Mg 0.774 0.622 0.500
Mg 0.596 0.978 0.500
Mg 0.092 0.979 0.000

***

A plane-wave DFT calculation with GGA-PBE was carried out for a relaxed structure of LuCo2.

spin magnetization = 0.347 μB per atom
formation enthalpy at 0 K = 1.349 eV/atom

Cell: 5.006 5.006 4.196 Å, 90.00 90.00 90.00°
Fractional positions:
Co 0.331 0.331 0.000
Co 0.669 0.669 0.000
Co 0.169 0.831 0.500
Co 0.831 0.169 0.500
Lu 0.000 0.000 0.000
Lu 0.500 0.500 0.500

***

A plane-wave DFT calculation with GGA-PBE was carried out for a relaxed structure of PaNbCu.

spin magnetization = 0.242 μB per atom
formation enthalpy at 0 K = 0.566 eV/atom
ΔE to the lowest computed polymorph = 0 meV per atom

Cell: 4.469 4.469 4.469 Å, 60.00 60.00 60.00°
Fractional positions:
Nb 0.250 0.250 0.250
Pa 0.750 0.750 0.750
Cu 0.000 0.000 0.000

***

A plane-wave DFT calculation with GGA-PBE was carried out for a relaxed structure of ReTe2Se3.

spin magnetization = 0.000 μB per atom
ΔE to the lowest computed polymorph = 26 meV per atom

Cell: 6.790 7.119 8.001 Å, 63.62 89.55 71.79°
Fractional positions:
Re 0.499 0.795 0.497
Re 0.501 0.205 0.503
Te 0.497 0.258 0.979
Te 0.503 0.742 0.021
Te 0.772 0.520 0.824
Te 0.228 0.480 0.176
Se 0.738 0.002 0.355
Se 0.262 0.998 0.645
Se 0.257 0.989 0.194
Se 0.294 0.509 0.603
Se 0.743 0.011 0.806
Se 0.706 0.491 0.397

***

A plane-wave DFT calculation with GGA-PBE was carried out for a relaxed structure of ZnCdTeO.

ΔE to the lowest computed polymorph = 151 meV per atom

Cell: 3.947 3.947 12.113 Å, 90.00 90.00 120.00°
Fractional positions:
Cd 0.333 0.667 0.279
Cd 0.667 0.333 0.779
O 0.000 0.000 0.828
O 0.000 0.000 0.328
Zn 0.000 0.000 0.987
Zn 0.000 0.000 0.487
Te 0.667 0.333 0.093
Te 0.333 0.667 0.593

***

A plane-wave DFT calculation with GGA-PBE was carried out for a relaxed structure of Zn2CoIr.

spin magnetization = 0.509 μB per atom
formation enthalpy at 0 K = -0.014 eV/atom

Cell: 4.221 4.221 4.221 Å, 60.00 60.00 60.00°
Fractional positions:
Zn 0.750 0.750 0.750
Zn 0.000 0.000 0.000
Co 0.500 0.500 0.500
Ir 0.250 0.250 0.250

***

no.,volume (Å³ per atom)
1,29.80
2,17.53
3,21.03
4,27.10
5,20.42
6,13.30